The following is a PBE-GGA calculation of a geometry-optimized Mg3InHg8 structure, from the Alexandria database.

a = 7.425 Å, b = 7.425 Å, c = 6.068 Å
α = 103.84°, β = 103.84°, γ = 72.29°
Atoms (fractional coordinates):
Mg 0.000 0.000 0.000
Mg 0.174 0.620 0.267
Mg 0.620 0.174 0.267
In 0.500 0.500 0.962
Hg 0.025 0.025 0.529
Hg 0.076 0.612 0.713
Hg 0.234 0.234 0.953
Hg 0.385 0.915 0.277
Hg 0.578 0.578 0.545
Hg 0.612 0.076 0.713
Hg 0.763 0.763 0.039
Hg 0.915 0.385 0.277

Summary:
- V (A^3/atom) = 25.4
- size of the total moment (μB per atom) = 0.0000
- symmetry = No. 8
- E_form (eV per atom) = -0.06